Record 1
Sr2LiCdPd6, optimized geometry, DFT PBE; formation energy = -0.214 eV/atom; space group = No. 12
1.0
-4.288 -1.466 -4.993
2.159 -6.386 0.022
-4.264 -4.554 1.015
Pd Sr Cd Li
6 2 1 1
direct
0.803 0.803 0.470
0.805 0.805 0.919
0.195 0.195 0.081
0.772 0.229 0.000
0.197 0.197 0.530
0.228 0.771 0.000
0.276 0.724 0.500
0.724 0.276 0.500
0.500 0.500 0.000
0.000 0.000 0.000

***

Record 2
PmDyC, optimized geometry, DFT PBE; E above lowest polymorph = 0.000 eV per atom; formation energy = -0.203 eV/atom; space group = No. 11
1.0
-2.313 -0.533 -2.739
3.207 -5.145 -1.706
-5.818 -0.113 4.935
C Pm Dy
2 2 2
direct
0.750 0.245 0.503
0.250 0.755 0.497
0.750 0.731 0.721
0.250 0.269 0.279
0.750 0.776 0.289
0.250 0.224 0.711

***

Record 3
Zr7Ru, optimized geometry, DFT PBE; formation energy = 0.073 eV/atom; space group = No. 225
1.0
0.000 4.424 4.424
4.424 0.000 4.424
4.424 4.424 0.000
Zr Ru
7 1
direct
0.500 0.500 0.500
0.500 0.500 0.000
0.000 0.500 0.000
0.500 0.000 0.500
0.500 0.000 0.000
0.000 0.000 0.500
0.000 0.500 0.500
0.000 0.000 0.000

***

Record 4
Ta2Pb2O7, optimized geometry, DFT PBE; E above lowest polymorph = 0.000 eV per atom; formation energy without anion corrections = -2.283 eV/atom; space group = No. 36
1.0
13.912 0.012 0.000
-13.341 3.943 0.000
0.000 0.000 5.885
O Pb Ta
14 4 4
direct
0.350 0.650 0.740
0.210 0.790 0.026
0.449 0.551 0.209
0.551 0.449 0.709
0.998 0.002 0.463
0.002 0.998 0.963
0.650 0.350 0.240
0.104 0.896 0.974
0.790 0.210 0.526
0.098 0.902 0.463
0.902 0.098 0.963
0.896 0.104 0.474
0.205 0.795 0.486
0.795 0.205 0.986
0.715 0.285 0.759
0.445 0.555 0.775
0.285 0.715 0.259
0.555 0.445 0.275
0.159 0.841 0.250
0.841 0.159 0.750
0.944 0.056 0.252
0.056 0.944 0.752

***

Record 5
MnAgSb3, optimized geometry, DFT PBE; E above lowest polymorph = 0.000 eV per atom; formation energy without anion corrections = 0.445 eV/atom; space group = No. 221
1.0
5.039 0.000 0.000
0.000 5.039 0.000
0.000 0.000 5.039
Ag Sb Mn
1 3 1
direct
0.500 0.500 0.500
0.500 0.000 0.000
0.000 0.000 0.500
0.000 0.500 0.000
0.000 0.000 0.000

***

Record 6
Na3Y2SbS6, optimized geometry, DFT PBE; formation energy without anion corrections = -1.454 eV/atom; space group = No. 12
1.0
6.926 -0.001 0.001
-3.462 5.999 0.001
-1.155 -1.999 6.679
Y S Na Sb
2 6 3 1
direct
0.667 0.333 0.000
0.333 0.667 0.000
0.076 0.410 0.228
0.924 0.590 0.772
0.259 0.259 0.773
0.741 0.741 0.227
0.590 0.924 0.772
0.410 0.076 0.228
0.836 0.164 0.500
0.500 0.500 0.500
0.164 0.836 0.500
0.000 0.000 0.000

***

Record 7
Pr3PuAu4, optimized geometry, DFT PBE; formation energy = -0.656 eV/atom; space group = No. 123
1.0
3.717 0.000 0.000
0.000 3.717 0.000
0.000 0.000 14.862
Au Pr Pu
4 3 1
direct
0.000 0.000 0.626
0.000 0.000 0.374
0.000 0.000 0.122
0.000 0.000 0.878
0.500 0.500 0.246
0.500 0.500 0.500
0.500 0.500 0.754
0.500 0.500 0.000

***

Record 8
In2Bi3Pb4, optimized geometry, DFT PBE; E above lowest polymorph = 0.008 eV per atom; formation energy = 0.046 eV/atom; space group = No. 156
1.0
3.479 0.000 0.000
-1.739 3.012 0.000
0.000 0.000 26.656
In Bi Pb
2 3 4
direct
0.667 0.333 0.877
0.667 0.333 0.088
0.000 0.000 0.318
0.667 0.333 0.656
0.000 0.000 0.985
0.000 0.000 0.768
0.000 0.000 0.544
0.667 0.333 0.431
0.667 0.333 0.208

***

Record 9
ZnAs2Rh, optimized geometry, DFT PBE; formation energy = 0.047 eV/atom; space group = No. 44
1.0
-0.920 -3.684 3.364
-0.650 -4.483 -2.281
3.446 3.699 0.417
Zn As Rh
1 2 1
direct
0.255 0.755 0.500
0.002 0.002 0.000
0.734 0.234 0.500
0.510 0.510 0.000

***

Record 10
Pd3BrF, optimized geometry, DFT PBE; E above lowest polymorph = 0.082 eV per atom; formation energy without anion corrections = 0.430 eV/atom; space group = No. 221
1.0
-0.465 -0.234 4.745
-3.208 -3.502 -0.487
3.505 -3.236 0.184
F Br Pd
1 1 3
direct
0.500 0.500 0.500
0.000 0.000 0.000
0.000 0.000 0.500
0.500 0.000 0.000
0.000 0.500 0.000

***

Record 11
TlMoIr2, optimized geometry, DFT PBE; E above lowest polymorph = 0.280 eV per atom; formation energy = 0.368 eV/atom; space group = No. 12
1.0
4.891 -0.001 0.005
4.052 2.739 0.005
0.700 0.214 4.967
Ir Mo Tl
2 1 1
direct
0.007 0.007 0.976
0.493 0.493 0.524
0.750 0.750 0.750
0.250 0.250 0.250

***

Record 12
AlHSe2, optimized geometry, DFT PBE; E above lowest polymorph = 0.582 eV per atom; space group = No. 141
1.0
-4.193 -2.648 0.288
0.603 -0.421 4.913
-4.860 3.405 3.400
H Al Se
2 2 4
direct
0.500 0.500 0.000
0.250 0.750 0.500
0.750 0.250 0.500
0.000 0.000 0.000
0.783 0.783 0.433
0.967 0.467 0.067
0.533 0.033 0.933
0.217 0.217 0.567

***

Record 13
PmDy12Sc5, optimized geometry, DFT PBE; formation energy = 0.037 eV/atom; space group = No. 12
1.0
6.035 0.000 -0.351
3.018 5.236 -0.176
-1.031 0.000 16.901
Sc Dy Pm
5 12 1
direct
0.833 0.333 0.500
0.500 0.000 0.500
0.167 0.667 0.500
0.667 0.667 0.000
0.333 0.333 0.000
0.056 0.664 0.167
0.720 0.336 0.167
0.114 0.333 0.339
0.280 0.664 0.833
0.447 0.667 0.339
0.944 0.336 0.833
0.553 0.333 0.661
0.780 0.000 0.339
0.886 0.667 0.661
0.392 0.000 0.167
0.608 0.000 0.833
0.220 0.000 0.661
0.000 0.000 0.000

***

Record 14
InAgGe3, optimized geometry, DFT PBE; E above lowest polymorph = 0.000 eV per atom; formation energy = 0.622 eV/atom; space group = No. 221
1.0
-0.298 4.498 -2.288
-0.120 -2.298 -4.502
-5.046 -0.211 0.242
In Ge Ag
1 3 1
direct
0.500 0.500 0.500
0.000 0.500 0.000
0.500 0.000 0.000
0.000 0.000 0.500
0.000 0.000 0.000

***

Record 15
ErPaIn6, optimized geometry, DFT PBE; formation energy = -0.259 eV/atom; space group = No. 123
1.0
4.632 0.000 0.000
0.000 4.632 0.000
0.000 0.000 9.245
In Pa Er
6 1 1
direct
0.500 0.500 0.000
0.500 0.000 0.248
0.000 0.500 0.248
0.500 0.500 0.500
0.000 0.500 0.752
0.500 0.000 0.752
0.000 0.000 0.500
0.000 0.000 0.000

***

Record 16
Li2Pm2HoPb2, optimized geometry, DFT PBE; formation energy = -0.324 eV/atom; space group = No. 166
1.0
-1.812 -4.491 0.016
1.714 -3.291 3.112
-6.321 -0.034 7.213
Pb Pm Ho Li
2 2 1 2
direct
0.267 0.267 0.198
0.733 0.733 0.802
0.872 0.872 0.383
0.128 0.128 0.617
0.000 0.000 0.000
0.604 0.604 0.188
0.396 0.396 0.812

***

Record 17
Sr2LiCdSb2, optimized geometry, DFT PBE; formation energy without anion corrections = -0.735 eV/atom; space group = No. 72
1.0
-3.178 3.448 -4.849
-5.720 -3.420 1.317
2.407 5.399 6.954
Sr Sb Li Cd
4 4 2 2
direct
0.903 0.664 0.327
0.576 0.836 0.673
0.097 0.336 0.673
0.424 0.164 0.327
0.114 0.882 0.764
0.350 0.618 0.236
0.650 0.382 0.764
0.886 0.118 0.236
0.000 0.250 0.000
0.000 0.750 0.000
0.500 0.250 0.000
0.500 0.750 0.000

***

Record 18
PrP2Ru4, optimized geometry, DFT PBE; E above lowest polymorph = 0.051 eV per atom; formation energy = -0.606 eV/atom; space group = No. 65
1.0
4.005 0.000 0.000
0.000 3.879 -1.152
0.000 0.015 7.157
Ru Pr P
4 1 2
direct
0.500 0.819 0.639
0.000 0.315 0.631
0.000 0.685 0.369
0.500 0.181 0.361
0.000 0.000 0.000
0.500 0.594 0.188
0.500 0.406 0.812

***

Record 19
BeH2Ru, optimized geometry, DFT PBE; E above lowest polymorph = 0.168 eV per atom; space group = No. 225
1.0
-2.398 -0.698 2.274
-3.235 -0.169 -0.955
-1.585 -2.982 -0.077
Ru H Be
1 2 1
direct
0.500 0.500 0.500
0.250 0.250 0.250
0.750 0.750 0.750
0.000 0.000 0.000

***

Record 20
Sr2BiOs, optimized geometry, DFT PBE; formation energy = 0.234 eV/atom; space group = No. 122
1.0
11.223 0.000 0.000
0.000 11.223 0.000
5.612 5.612 2.604
Sr Bi Os
4 2 2
direct
0.875 0.705 0.750
0.455 0.125 0.250
0.295 0.625 0.250
0.375 0.545 0.750
0.000 0.000 0.000
0.750 0.250 0.500
0.500 0.500 0.000
0.250 0.750 0.500

***

Record 21
Ca3Hg2Au9, optimized geometry, DFT PBE; formation energy = -0.449 eV/atom; space group = No. 71
1.0
4.524 0.000 1.215
1.634 8.121 2.946
0.068 0.518 8.777
Hg Au Ca
2 9 3
direct
0.500 0.311 0.689
0.500 0.689 0.311
0.334 0.304 0.028
0.000 0.500 0.500
0.334 0.028 0.304
0.135 0.150 0.580
0.666 0.972 0.696
0.865 0.420 0.850
0.135 0.580 0.150
0.865 0.850 0.420
0.666 0.696 0.972
0.710 0.290 0.290
0.290 0.710 0.710
0.000 0.000 0.000

***

Record 22
NaEuSbPd, optimized geometry, DFT PBE; formation energy without anion corrections = -0.598 eV/atom; space group = No. 216
1.0
-1.904 2.152 -4.134
-2.531 -2.781 -3.348
-4.980 0.556 -0.482
Na Sb Pd Eu
1 1 1 1
direct
0.000 0.000 0.000
0.750 0.750 0.750
0.500 0.500 0.500
0.250 0.250 0.250

***

Record 23
MgBe2Fe, optimized geometry, DFT PBE; formation energy = 0.202 eV/atom; space group = No. 65
1.0
-1.320 2.087 -3.161
-3.635 -1.648 0.403
-0.752 2.068 1.679
Be Mg Fe
2 1 1
direct
0.500 0.500 0.000
0.000 0.000 0.000
0.000 0.500 0.500
0.500 0.000 0.500

***

Record 24
MnNiCl2, optimized geometry, DFT PBE; E above lowest polymorph = 0.003 eV per atom; formation energy without anion corrections = -0.387 eV/atom; space group = No. 12
1.0
-2.853 -2.562 4.757
0.469 -3.323 5.106
0.488 3.278 2.506
Mn Cl Ni
1 2 1
direct
0.750 0.750 0.750
0.394 0.394 0.531
0.106 0.106 0.969
0.250 0.250 0.250

***

Calculated size of the total moment in order - 0.000; 0.418; 0.000; 0.000; 2.125; 0.000; 5.762; 0.000; 0.000; 0.000; 0.000; 0.000; 0.000; 0.000; 0.844; 0.000; 0.000; 0.000; 0.000; 0.000; 0.000; 7.006; 1.685; 4.967 μB/cell